No. 1
The following is a GGA-PBE calculation of Hf2ZrTiN after structural relaxation, from the Alexandria database.

Unit cell a=4.5477 b=4.5477 c=4.2053 alpha=90.00 beta=90.00 gamma=90.00
Space group P4/mmm (No. 123)
Asymmetric unit:
Hf 0.0000 0.5000 0.0000
Zr 0.0000 0.0000 0.5000
Ti 0.5000 0.5000 0.5000
N 0.5000 0.5000 0.0000

Summary:
electronic total energy: -9.64 eV/atom
energy above the most stable polymorph in this dataset: 0 meV per atom
ΔE_f (raw): -0.71 eV/atom
magnetic moment: 0.0 μB per formula unit

=====

No. 2
The following is a GGA-PBE calculation of HfZrTi2N after structural relaxation, from the Alexandria database.

Unit cell a=4.2175 b=4.2175 c=4.6201 alpha=90.00 beta=90.00 gamma=90.00
Space group P4/mmm (No. 123)
Asymmetric unit:
Hf 0.0000 0.0000 0.0000
Zr 0.5000 0.5000 0.0000
Ti 0.0000 0.5000 0.5000
N 0.5000 0.5000 0.5000

Summary:
electronic total energy: -9.21 eV/atom
energy above the most stable polymorph in this dataset: 5 meV per atom
ΔE_f (raw): -0.68 eV/atom
magnetic moment: 0.0 μB per formula unit

=====

No. 3
The following is a GGA-PBE calculation of Hf2ZrTiN4 after structural relaxation, from the Alexandria database.

Unit cell a=5.5148 b=3.1794 c=5.5222 alpha=90.00 beta=109.40 gamma=90.00
Space group P2/m (No. 10)
Asymmetric unit:
Hf 0.0000 0.0000 0.0000
Hf 0.0000 0.5000 0.5000
Zr 0.5000 0.0000 0.5000
Ti 0.5000 0.5000 0.0000
N 0.2432 0.5000 0.2415
N 0.2484 0.0000 0.7558

Summary:
electronic total energy: -10.41 eV/atom
ΔE_f (raw): -1.70 eV/atom
magnetic moment: 0.0 μB per formula unit